(1)
## MgTePtPbO (PBE-GGA)

Data for MgTePtPbO after structural relaxation.

Structure (CIF):
```
data_MgTePtPbO
_cell_length_a 3.506
_cell_length_b 4.247
_cell_length_c 7.625
_cell_angle_alpha 106.14
_cell_angle_beta 92.39
_cell_angle_gamma 90.01
_symmetry_space_group_name_H-M 'P 1'
_symmetry_Int_Tables_number 1
_symmetry_space_group_name_Hall 'P 1'
loop_
_atom_site_label
_atom_site_type_symbol
_atom_site_fract_x
_atom_site_fract_y
_atom_site_fract_z
Mg1 Mg 0.000 0.000 0.000
Te1 Te 0.440 0.649 0.295
Pt1 Pt 0.955 0.183 0.364
Pb1 Pb 0.472 0.347 0.692
O1 O 0.489 0.938 0.874
```

Crystal system = triclinic
Total DFT energy (no corrections) = -23.69 eV per formula unit

=====

(2)
## MgTePtPbO (PBE-GGA)

Data for MgTePtPbO after structural relaxation.

Structure (CIF):
```
data_MgTePtPbO
_cell_length_a 4.856
_cell_length_b 4.908
_cell_length_c 5.814
_cell_angle_alpha 89.34
_cell_angle_beta 89.51
_cell_angle_gamma 65.51
_symmetry_space_group_name_H-M 'P 1'
_symmetry_Int_Tables_number 1
_symmetry_space_group_name_Hall 'P 1'
loop_
_atom_site_label
_atom_site_type_symbol
_atom_site_fract_x
_atom_site_fract_y
_atom_site_fract_z
Mg1 Mg 0.000 0.000 0.000
Te1 Te 0.352 0.347 0.088
Pt1 Pt 0.739 0.120 0.413
Pb1 Pb 0.554 0.690 0.607
O1 O 0.049 0.916 0.673
```

Crystal system = triclinic
Total DFT energy (no corrections) = -23.03 eV per formula unit

=====

no.,energy above the lowest structure with this stoichiometry (kJ/mol of atoms),size of the total moment (μB per formula unit),formation energy from raw total energies (eV per atom)
1,2.2,0.00,-0.849
2,15.0,0.00,-0.716